This record from the Alexandria database describes a relaxed structure of Li6AcRh2. The functional is PBE-GGA.

abc: 10.7702 8.3999 4.5169
angles: 90.00 114.38 90.00
Closest atoms and distances in Å follow each position.
Space group C2/m (No. 12)
Symmetry-distinct sites (fractional):
Li 0.0000 0.1489 0.0000  1 Li 2.50, 2 Rh 2.63
Li 0.2271 0.1633 0.7267  3 Rh 2.64-2.85, 3 Li 2.72-2.74
Ac 0.0000 0.5000 0.5000  2 Rh 2.60
Rh 0.2355 0.0000 0.2346  1 Ac 2.60, 8 Li 2.63-2.85

The energy of formation is -0.88 eV per formula unit. The value obtained for the magnetization is 0.000 μB per formula unit.

***

This record from the Alexandria database describes a relaxed structure of Al2CrRu. The functional is PBE-GGA.

abc: 3.0299 4.4989 8.2287
angles: 90.00 90.00 90.00
Closest atoms and distances in Å follow each position.
Space group Immm (No. 71)
Symmetry-distinct sites (fractional):
Al 0.0000 0.0000 0.2476  2 Ru 2.54, 2 Cr 2.57, 4 Al 2.71
Cr 0.0000 0.5000 0.0000  4 Al 2.57, 4 Ru 2.71
Ru 0.0000 0.5000 0.5000  4 Al 2.54, 4 Cr 2.71

The energy of formation is -0.68 eV per formula unit. The value obtained for the magnetization is 2.426 μB per formula unit.

***

> The highest magnetization belongs to which entry?

Al2CrRu